No. 1
# CoReS2 GGA-PBE optimized geometry
# Energy relative to the lowest polymorph listed for this composition (eV per formula unit): 0.509
# Raw formation energy (eV/atom): 0.0715
data_CoReS2
_cell_length_a 3.0334
_cell_length_b 3.0334
_cell_length_c 22.6875
_cell_angle_alpha 90.00
_cell_angle_beta 90.00
_cell_angle_gamma 120.00
_space_group_name_H-M_alt 'R -3 m'
_space_group_IT_number 166
_space_group_name_Hall '-R 3 2"'
loop_
_atom_site_label
_atom_site_type_symbol
_atom_site_fract_x
_atom_site_fract_y
_atom_site_fract_z
Co1 Co 0.0000 0.0000 0.0000
Re1 Re 0.0000 0.0000 0.5000
S1 S 0.0000 0.0000 0.0933



No. 2
# HfAl4Ru GGA-PBE optimized geometry
# DFT formation energy (eV/f.u.): -1.49
data_HfAl4Ru
_cell_length_a 6.538
_cell_length_b 6.538
_cell_length_c 10.278
_cell_angle_alpha 90.00
_cell_angle_beta 90.00
_cell_angle_gamma 90.00
_space_group_name_H-M_alt 'I 4/m c m'
_space_group_IT_number 140
_space_group_name_Hall '-I 4 2c'
loop_
_atom_site_label
_atom_site_type_symbol
_atom_site_fract_x
_atom_site_fract_y
_atom_site_fract_z
Hf1 Hf 0.000 0.000 0.000
Al1 Al 0.151 0.349 0.153
Ru1 Ru 0.000 0.000 0.250



No. 3
# GaCuPt GGA-PBE optimized geometry
# Energy relative to the lowest polymorph listed for this composition (eV per formula unit): 0.002
# DFT formation energy (eV/f.u.): -1.08
data_GaCuPt
_cell_length_a 4.2102
_cell_length_b 4.2102
_cell_length_c 2.8097
_cell_angle_alpha 90.00
_cell_angle_beta 90.00
_cell_angle_gamma 120.00
_space_group_name_H-M_alt 'P 3 m 1'
_space_group_IT_number 156
loop_
_space_group_symop_operation_xyz
'x,y,z'
'-y,x-y,z'
'-x+y,-x,z'
'-y,-x,z'
'-x+y,y,z'
'x,x-y,z'
loop_
_atom_site_label
_atom_site_type_symbol
_atom_site_fract_x
_atom_site_fract_y
_atom_site_fract_z
Ga1 Ga 0.0000 0.0000 0.0000
Cu1 Cu 0.6667 0.3333 0.2534
Pt1 Pt 0.3333 0.6667 0.7131



No. 4
# Sr2P4Rh3 GGA-PBE optimized geometry
# DFT formation energy (eV/f.u.): -6.72
data_Sr2P4Rh3
_cell_length_a 5.718
_cell_length_b 9.863
_cell_length_c 12.856
_cell_angle_alpha 90.00
_cell_angle_beta 90.00
_cell_angle_gamma 90.00
_space_group_name_H-M_alt 'F m m m'
_space_group_IT_number 69
_space_group_name_Hall '-F 2 2'
loop_
_atom_site_label
_atom_site_type_symbol
_atom_site_fract_x
_atom_site_fract_y
_atom_site_fract_z
Sr1 Sr 0.000 0.000 0.147
P1 P 0.000 0.162 0.366
Rh1 Rh 0.000 0.000 0.500
Rh2 Rh 0.250 0.250 0.000



No. 5
# TiCu2PdPb GGA-PBE optimized geometry
# DFT formation energy (eV/f.u.): 5.79
data_TiCu2PdPb
_cell_length_a 4.769
_cell_length_b 4.769
_cell_length_c 5.273
_cell_angle_alpha 90.00
_cell_angle_beta 90.00
_cell_angle_gamma 90.00
_space_group_name_H-M_alt 'P 4/m m m'
_space_group_IT_number 123
_space_group_name_Hall '-P 4 2'
loop_
_atom_site_label
_atom_site_type_symbol
_atom_site_fract_x
_atom_site_fract_y
_atom_site_fract_z
Ti1 Ti 0.000 0.000 0.000
Cu1 Cu 0.000 0.500 0.500
Pd1 Pd 0.500 0.500 0.000
Pb1 Pb 0.000 0.000 0.500



No. 6
# DyMgTl GGA-PBE optimized geometry
# DFT formation energy (eV/f.u.): -0.97
data_DyMgTl
_cell_length_a 7.5322
_cell_length_b 7.5322
_cell_length_c 4.6690
_cell_angle_alpha 90.00
_cell_angle_beta 90.00
_cell_angle_gamma 120.00
_space_group_name_H-M_alt 'P -6 2 m'
_space_group_IT_number 189
_space_group_name_Hall 'P -6 -2'
loop_
_atom_site_label
_atom_site_type_symbol
_atom_site_fract_x
_atom_site_fract_y
_atom_site_fract_z
Dy1 Dy 0.0000 0.4316 0.0000
Mg1 Mg 0.0000 0.7575 0.5000
Tl1 Tl 0.0000 0.0000 0.0000
Tl2 Tl 0.3333 0.6667 0.5000